1.
## ZnFe2Co (PBE)

Data for a geometry-optimized ZnFe2Co structure.

Results
formation energy: 0.017 eV/atom

a = 2.877 Å, b = 2.877 Å, c = 5.820 Å
α = 90.00°, β = 90.00°, γ = 90.00°
Element x y z (fractional)
1 Co 0.500 0.500 0.764
2 Fe 0.000 0.000 0.992
3 Zn 0.000 0.000 0.506
4 Fe 0.500 0.500 0.238

2.
## ZrAlIr (PBE)

Data for a geometry-optimized ZrAlIr structure.

Results
formation energy: -0.740 eV/atom

a = 3.766 Å, b = 6.803 Å, c = 12.082 Å
α = 90.00°, β = 90.00°, γ = 90.00°
Element x y z (fractional)
1 Ir 0.500 0.430 0.375
2 Al 0.500 0.052 0.098
3 Al 0.000 0.435 0.750
4 Ir 0.500 0.430 0.125
5 Zr 0.000 0.847 0.750
6 Ir 0.500 0.803 0.250
7 Zr 0.000 0.742 0.463
8 Ir 0.500 0.570 0.625
9 Ir 0.500 0.197 0.750
10 Zr 0.000 0.258 0.537
11 Ir 0.500 0.570 0.875
12 Zr 0.000 0.258 0.963
13 Al 0.000 0.565 0.250
14 Al 0.500 0.948 0.598
15 Al 0.500 0.948 0.902
16 Zr 0.000 0.742 0.037
17 Zr 0.000 0.153 0.250
18 Al 0.500 0.052 0.402

3.
## KPuNbO5 (PBE)

Data for a geometry-optimized KPuNbO5 structure.

Results
raw formation energy: -2.650 eV/atom

a = 6.389 Å, b = 6.389 Å, c = 8.038 Å
α = 104.22°, β = 104.22°, γ = 105.79°
Element x y z (fractional)
1 O 0.382 0.236 0.097
2 O 0.882 0.300 0.110
3 K 0.674 0.326 0.750
4 Nb 0.315 0.685 0.750
5 O 0.940 0.060 0.750
6 O 0.300 0.882 0.610
7 O 0.236 0.382 0.597
8 O 0.118 0.700 0.890
9 O 0.764 0.618 0.403
10 Pu 0.000 0.000 0.000
11 Nb 0.685 0.315 0.250
12 O 0.618 0.764 0.903
13 Pu 0.000 0.000 0.500
14 O 0.060 0.940 0.250
15 K 0.326 0.674 0.250
16 O 0.700 0.118 0.390

4.
## CsTiRe2 (PBE)

Data for a geometry-optimized CsTiRe2 structure.

Results
formation energy: 1.832 eV/atom
energy relative to the lowest polymorph listed for this composition: 0.127 eV/atom

a = 4.713 Å, b = 4.713 Å, c = 4.713 Å
α = 60.00°, β = 60.00°, γ = 60.00°
Element x y z (fractional)
1 Ti 0.000 0.000 0.000
2 Re 0.750 0.750 0.750
3 Re 0.250 0.250 0.250
4 Cs 0.500 0.500 0.500

Let's list density of states at the Fermi level in order: 4.1, 6.3, 8.1, 6.1 states/eV per cell.